DFT (GGA-PBE) results for a relaxed structure of LiYS2. Values from VASP.

**Energy relative to the elements, uncorrected**: -173 kJ/mol of atoms
**Mass density**: 3.08 g cm⁻³

Cell and atoms, written as Quantum ESPRESSO input:
```
&SYSTEM
  ibrav = 0, nat = 12, ntyp = 3
/
ATOMIC_SPECIES
Li 6.94 Li.upf
Y 88.91 Y.upf
S 32.06 S.upf
CELL_PARAMETERS angstrom
3.889 0.000 0.000
-1.944 3.368 0.000
0.000 0.000 19.750
ATOMIC_POSITIONS crystal
Li 0.000 0.000 0.000
Li 0.333 0.667 0.667
Li 0.667 0.333 0.333
Y 0.000 0.000 0.822
Y 0.333 0.667 0.489
Y 0.667 0.333 0.156
S 0.000 0.000 0.233
S 0.000 0.000 0.407
S 0.333 0.667 0.074
S 0.333 0.667 0.900
S 0.667 0.333 0.567
S 0.667 0.333 0.741
```